Below is an optimized crystal structure of CuNi4Ag, with properties calculated at the GGA-PBE level.

Lattice parameters (Å, degrees): 4.7233 4.7233 4.7233 60.00 60.00 60.00
Fractional positions:
Cu: 0.0000 0.0000 0.0000
Ni: 0.3746 0.3746 0.3746
Ni: 0.3746 0.3746 0.8761
Ni: 0.3746 0.8761 0.3746
Ni: 0.8761 0.3746 0.3746
Ag: 0.7500 0.7500 0.7500

Values from the calculation:
spin magnetization: 0.00 μB per cell
energy of formation from the pure elements: 166 meV/atom
DFT total energy: -4.85 eV per atom
SG: F-43m (216)